# PBE Nd4Pd2N, relaxed
data_Nd4Pd2N
_chemical_formula_sum 'Nd8 Pd4 N2'
_cell_length_a 4.921
_cell_length_b 4.921
_cell_length_c 14.695
_cell_angle_alpha 90.00
_cell_angle_beta 90.00
_cell_angle_gamma 90.00
_symmetry_space_group_name_H-M 'I 4/m m m'
_symmetry_Int_Tables_number 139
_symmetry_space_group_name_Hall '-I 4 2'
loop_
_atom_site_label
_atom_site_type_symbol
_atom_site_fract_x
_atom_site_fract_y
_atom_site_fract_z
Nd1 Nd 0.000 0.000 0.179
Nd2 Nd 0.000 0.500 0.000
Pd1 Pd 0.000 0.000 0.371
N1 N 0.000 0.000 0.000
# ΔE_f (raw): -0.721 eV/atom
# calculated total energy: -6.118 eV per atom
# magnetization: 0.00 μB/cell